# InCuPb, relaxed, DFT GGA-PBE
data_InCuPb
_symmetry_space_group_name_H-M 'P 1'
_symmetry_Int_Tables_number 1
_cell_length_a 4.284
_cell_length_b 4.284
_cell_length_c 7.469
_cell_angle_alpha 90.00
_cell_angle_beta 90.00
_cell_angle_gamma 90.00
loop_
_symmetry_equiv_pos_as_xyz
'x,y,z'
loop_
_atom_site_label
_atom_site_type_symbol
_atom_site_fract_x
_atom_site_fract_y
_atom_site_fract_z
In1 In 0.000 0.000 0.500
Cu1 Cu 0.500 0.000 0.256
In2 In 0.500 0.500 0.500
Pb1 Pb 0.500 0.000 0.876
Pb2 Pb 0.000 0.500 0.124
Cu2 Cu 0.000 0.500 0.744
# - crystal system = tetragonal
# - energy of formation (eV/f.u.) = 0.4